# 1
A relaxed structure of HoTm6Zn2. Source: Alexandria, functional PBE.

DFT formation energy = -0.14 eV/atom
SG = C2/m (12)

Geometry as CIF:
```
data_HoTm6Zn2
_symmetry_space_group_name_H-M 'P 1'
_symmetry_Int_Tables_number 1
_symmetry_space_group_name_Hall 'P 1'
_cell_length_a 3.5635
_cell_length_b 6.3922
_cell_length_c 11.3111
_cell_angle_alpha 76.44
_cell_angle_beta 80.94
_cell_angle_gamma 73.81
loop_
_atom_site_label
_atom_site_fract_x
_atom_site_fract_y
_atom_site_fract_z
_atom_site_occupancy
Tm1 0.9766 0.7183 0.3285 1
Zn1 0.3491 0.0952 0.2066 1
Ho1 0.0000 0.0000 0.0000 1
Zn2 0.6509 0.9048 0.7934 1
Tm2 0.6901 0.4949 0.1249 1
Tm3 0.3163 0.7806 0.5867 1
Tm4 0.0234 0.2817 0.6715 1
Tm5 0.6837 0.2194 0.4133 1
Tm6 0.3099 0.5051 0.8751 1
```



# 2
A relaxed structure of Ho5TmZn4. Source: Alexandria, functional PBE.

DFT formation energy = -0.27 eV/atom
SG = P4/mmm (123)

Geometry as CIF:
```
data_Ho5TmZn4
_symmetry_space_group_name_H-M 'P 1'
_symmetry_Int_Tables_number 1
_symmetry_space_group_name_Hall 'P 1'
_cell_length_a 3.5453
_cell_length_b 3.5453
_cell_length_c 19.2034
_cell_angle_alpha 90.00
_cell_angle_beta 90.00
_cell_angle_gamma 90.00
loop_
_atom_site_label
_atom_site_fract_x
_atom_site_fract_y
_atom_site_fract_z
_atom_site_occupancy
Zn1 0.0000 0.0000 0.7772 1
Ho1 0.5000 0.5000 0.6845 1
Ho2 0.5000 0.5000 0.5000 1
Zn2 0.0000 0.0000 0.2228 1
Zn3 0.0000 0.0000 0.5931 1
Zn4 0.0000 0.0000 0.4069 1
Ho3 0.5000 0.5000 0.1305 1
Ho4 0.5000 0.5000 0.3155 1
Ho5 0.5000 0.5000 0.8695 1
Tm1 0.0000 0.0000 0.0000 1
```



# 3
A relaxed structure of Ho2TmZn2. Source: Alexandria, functional PBE.

DFT formation energy = -0.27 eV/atom
SG = P2_1/m (11)

Geometry as CIF:
```
data_Ho2TmZn2
_symmetry_space_group_name_H-M 'P 1'
_symmetry_Int_Tables_number 1
_symmetry_space_group_name_Hall 'P 1'
_cell_length_a 3.5785
_cell_length_b 5.0911
_cell_length_c 13.2075
_cell_angle_alpha 90.00
_cell_angle_beta 97.82
_cell_angle_gamma 90.00
loop_
_atom_site_label
_atom_site_fract_x
_atom_site_fract_y
_atom_site_fract_z
_atom_site_occupancy
Ho1 0.0460 0.7500 0.0919 1
Zn1 0.4502 0.7500 0.9000 1
Zn2 0.5498 0.2500 0.1000 1
Tm1 0.8556 0.7500 0.7120 1
Ho2 0.7680 0.2500 0.5349 1
Tm2 0.1444 0.2500 0.2880 1
Zn3 0.3602 0.2500 0.7203 1
Ho3 0.9540 0.2500 0.9081 1
Ho4 0.2320 0.7500 0.4651 1
Zn4 0.6398 0.7500 0.2797 1
```



# 4
A relaxed structure of HoTmZn. Source: Alexandria, functional PBE.

DFT formation energy = 0.01 eV/atom
SG = Pnma (62)

Geometry as CIF:
```
data_HoTmZn
_symmetry_space_group_name_H-M 'P 1'
_symmetry_Int_Tables_number 1
_symmetry_space_group_name_Hall 'P 1'
_cell_length_a 4.8872
_cell_length_b 6.9646
_cell_length_c 9.7700
_cell_angle_alpha 90.00
_cell_angle_beta 90.00
_cell_angle_gamma 90.00
loop_
_atom_site_label
_atom_site_fract_x
_atom_site_fract_y
_atom_site_fract_z
_atom_site_occupancy
Tm1 0.7500 0.9998 0.1229 1
Zn1 0.2500 0.2503 0.6249 1
Ho1 0.2500 0.5004 0.8727 1
Zn2 0.7500 0.7503 0.8751 1
Ho2 0.2500 0.9996 0.3727 1
Ho3 0.7500 0.0004 0.6273 1
Ho4 0.7500 0.4996 0.1273 1
Tm2 0.2500 0.0002 0.8771 1
Zn3 0.2500 0.2497 0.1249 1
Tm3 0.7500 0.5002 0.6229 1
Tm4 0.2500 0.4998 0.3771 1
Zn4 0.7500 0.7497 0.3751 1
```



# 5
A relaxed structure of HoTm4Zn4. Source: Alexandria, functional PBE.

DFT formation energy = -0.06 eV/atom
SG = P4_2/n (86)

Geometry as CIF:
```
data_HoTm4Zn4
_symmetry_space_group_name_H-M 'P 1'
_symmetry_Int_Tables_number 1
_symmetry_space_group_name_Hall 'P 1'
_cell_length_a 5.8148
_cell_length_b 8.9445
_cell_length_c 8.9445
_cell_angle_alpha 90.00
_cell_angle_beta 90.00
_cell_angle_gamma 90.00
loop_
_atom_site_label
_atom_site_fract_x
_atom_site_fract_y
_atom_site_fract_z
_atom_site_occupancy
Zn1 0.1213 0.1347 0.2727 1
Zn2 0.8787 0.7273 0.1347 1
Tm1 0.6119 0.9099 0.6805 1
Zn3 0.3787 0.6347 0.7727 1
Tm2 0.3881 0.3195 0.9099 1
Tm3 0.1119 0.1805 0.5901 1
Tm4 0.1119 0.8195 0.4099 1
Zn4 0.3787 0.3653 0.2273 1
Ho1 0.0000 0.0000 0.0000 1
Tm5 0.8881 0.4099 0.1805 1
Zn5 0.6213 0.2273 0.6347 1
Zn6 0.8787 0.2727 0.8653 1
Zn7 0.1213 0.8653 0.7273 1
Ho2 0.5000 0.5000 0.5000 1
Zn8 0.6213 0.7727 0.3653 1
Tm6 0.6119 0.0901 0.3195 1
Tm7 0.3881 0.6805 0.0901 1
Tm8 0.8881 0.5901 0.8195 1
```



# 6
A relaxed structure of HoTmZn. Source: Alexandria, functional PBE.

DFT formation energy = -0.05 eV/atom
SG = P3m1 (156)

Geometry as CIF:
```
data_HoTmZn
_symmetry_space_group_name_H-M 'P 1'
_symmetry_Int_Tables_number 1
_symmetry_space_group_name_Hall 'P 1'
_cell_length_a 3.5726
_cell_length_b 4.9600
_cell_length_c 4.9600
_cell_angle_alpha 120.00
_cell_angle_beta 90.00
_cell_angle_gamma 90.00
loop_
_atom_site_label
_atom_site_fract_x
_atom_site_fract_y
_atom_site_fract_z
_atom_site_occupancy
Tm1 0.0747 0.0000 0.0000 1
Zn1 0.3159 0.3333 0.6667 1
Ho1 0.6094 0.6667 0.3333 1
```



# 7
A relaxed structure of Ho4Tm9Zn11. Source: Alexandria, functional PBE.

DFT formation energy = -0.25 eV/atom
SG = Cmmm (65)

Geometry as CIF:
```
data_Ho4Tm9Zn11
_symmetry_space_group_name_H-M 'P 1'
_symmetry_Int_Tables_number 1
_symmetry_space_group_name_Hall 'P 1'
_cell_length_a 3.4031
_cell_length_b 12.9492
_cell_length_c 12.9492
_cell_angle_alpha 107.64
_cell_angle_beta 90.00
_cell_angle_gamma 90.00
loop_
_atom_site_label
_atom_site_fract_x
_atom_site_fract_y
_atom_site_fract_z
_atom_site_occupancy
Zn1 0.0000 0.0000 0.0000 1
Zn2 0.0000 0.0521 0.4161 1
Tm1 0.5000 0.9795 0.7954 1
Tm2 0.5000 0.5000 0.5000 1
Ho1 0.5000 0.4170 0.2448 1
Tm3 0.5000 0.2046 0.0205 1
Tm4 0.5000 0.3773 0.8510 1
Zn3 0.0000 0.4161 0.0521 1
Zn4 0.0000 0.2127 0.2127 1
Ho2 0.5000 0.5830 0.7552 1
Ho3 0.5000 0.2448 0.4170 1
Zn5 0.0000 0.3691 0.6309 1
Tm5 0.5000 0.6227 0.1490 1
Zn6 0.0000 0.5839 0.9479 1
Zn7 0.0000 0.6309 0.3691 1
Zn8 0.0000 0.9479 0.5839 1
Zn9 0.0000 0.1768 0.8232 1
Tm6 0.5000 0.1490 0.6227 1
Ho4 0.5000 0.7552 0.5830 1
Zn10 0.0000 0.7873 0.7873 1
Tm7 0.5000 0.7954 0.9795 1
Tm8 0.5000 0.0205 0.2046 1
Tm9 0.5000 0.8510 0.3773 1
Zn11 0.0000 0.8232 0.1768 1
```



# 8
A relaxed structure of HoTm5Zn6. Source: Alexandria, functional PBE.

DFT formation energy = -0.35 eV/atom
SG = Cmmm (65)

Geometry as CIF:
```
data_HoTm5Zn6
_symmetry_space_group_name_H-M 'P 1'
_symmetry_Int_Tables_number 1
_symmetry_space_group_name_Hall 'P 1'
_cell_length_a 4.9809
_cell_length_b 7.0618
_cell_length_c 7.8880
_cell_angle_alpha 90.00
_cell_angle_beta 71.60
_cell_angle_gamma 90.00
loop_
_atom_site_label
_atom_site_fract_x
_atom_site_fract_y
_atom_site_fract_z
_atom_site_occupancy
Zn1 0.8327 0.7482 0.3347 1
Ho1 0.0000 0.0000 0.0000 1
Zn2 0.1674 0.7482 0.6653 1
Tm1 0.3328 0.0000 0.3345 1
Tm2 0.0000 0.5000 0.0000 1
Tm3 0.6660 0.5000 0.6679 1
Zn3 0.1673 0.2518 0.6653 1
Tm4 0.3340 0.5000 0.3321 1
Zn4 0.8326 0.2518 0.3347 1
Zn5 0.5000 0.2513 0.0000 1
Zn6 0.5000 0.7487 0.0000 1
Tm5 0.6672 0.0000 0.6655 1
```



# 9
A relaxed structure of Ho3Tm4Zn. Source: Alexandria, functional PBE.

DFT formation energy = -0.07 eV/atom
SG = P4/mmm (123)

Geometry as CIF:
```
data_Ho3Tm4Zn
_symmetry_space_group_name_H-M 'P 1'
_symmetry_Int_Tables_number 1
_symmetry_space_group_name_Hall 'P 1'
_cell_length_a 3.5032
_cell_length_b 3.5032
_cell_length_c 18.5131
_cell_angle_alpha 90.00
_cell_angle_beta 90.00
_cell_angle_gamma 90.00
loop_
_atom_site_label
_atom_site_fract_x
_atom_site_fract_y
_atom_site_fract_z
_atom_site_occupancy
Zn1 0.5000 0.5000 0.0000 1
Tm1 0.0000 0.0000 0.6347 1
Ho1 0.5000 0.5000 0.5000 1
Tm2 0.0000 0.0000 0.0952 1
Ho2 0.5000 0.5000 0.7678 1
Tm3 0.0000 0.0000 0.9048 1
Tm4 0.0000 0.0000 0.3653 1
Ho3 0.5000 0.5000 0.2322 1
```



# 10
A relaxed structure of Ho2Tm3Zn2. Source: Alexandria, functional PBE.

DFT formation energy = -0.12 eV/atom
SG = Cmmm (65)

Geometry as CIF:
```
data_Ho2Tm3Zn2
_symmetry_space_group_name_H-M 'P 1'
_symmetry_Int_Tables_number 1
_symmetry_space_group_name_Hall 'P 1'
_cell_length_a 15.5581
_cell_length_b 15.5581
_cell_length_c 3.4224
_cell_angle_alpha 90.00
_cell_angle_beta 90.00
_cell_angle_gamma 167.23
loop_
_atom_site_label
_atom_site_fract_x
_atom_site_fract_y
_atom_site_fract_z
_atom_site_occupancy
Tm1 0.8812 0.1188 0.0000 1
Ho1 0.2988 0.7012 0.5000 1
Tm2 0.0000 0.0000 0.0000 1
Zn1 0.4421 0.5579 0.5000 1
Ho2 0.7012 0.2988 0.5000 1
Zn2 0.5579 0.4421 0.5000 1
Tm3 0.1188 0.8812 0.0000 1
```



# 11
A relaxed structure of HoTm2Zn2. Source: Alexandria, functional PBE.

DFT formation energy = -0.16 eV/atom
SG = P2_1/m (11)

Geometry as CIF:
```
data_HoTm2Zn2
_symmetry_space_group_name_H-M 'P 1'
_symmetry_Int_Tables_number 1
_symmetry_space_group_name_Hall 'P 1'
_cell_length_a 4.3533
_cell_length_b 4.4290
_cell_length_c 12.9339
_cell_angle_alpha 99.75
_cell_angle_beta 90.00
_cell_angle_gamma 90.00
loop_
_atom_site_label
_atom_site_fract_x
_atom_site_fract_y
_atom_site_fract_z
_atom_site_occupancy
Zn1 0.2500 0.8310 0.6631 1
Zn2 0.2500 0.5256 0.0508 1
Tm1 0.7500 0.7596 0.5197 1
Tm2 0.2500 0.2404 0.4803 1
Tm3 0.2500 0.9453 0.8892 1
Tm4 0.7500 0.0547 0.1108 1
Zn3 0.7500 0.1690 0.3369 1
Zn4 0.7500 0.4744 0.9492 1
Ho1 0.2500 0.6390 0.2766 1
Ho2 0.7500 0.3610 0.7234 1
```